[1]
This record from the Alexandria database describes an optimized crystal structure of Ho5Tl2AgIr2. The functional is PBE.

Formation enthalpy at 0 K   -0.52 eV/atom

Cell lengths 11.811, 11.811, 3.632 Å; angles 90.00, 90.00, 90.00 degrees
Element x y z (fractional)
Ho  0.000  0.500  0.000
Ho  0.076  0.203  0.000
Ho  0.203  0.924  0.000
Ho  0.297  0.424  0.000
Ho  0.424  0.703  0.000
Ho  0.500  0.000  0.000
Ho  0.576  0.297  0.000
Ho  0.703  0.576  0.000
Ho  0.797  0.076  0.000
Ho  0.924  0.797  0.000
Tl  0.172  0.672  0.500
Tl  0.328  0.172  0.500
Tl  0.672  0.828  0.500
Tl  0.828  0.328  0.500
Ag  0.000  0.000  0.500
Ag  0.500  0.500  0.500
Ir  0.133  0.367  0.500
Ir  0.367  0.867  0.500
Ir  0.633  0.133  0.500
Ir  0.867  0.633  0.500

***

[2]
This record from the Alexandria database describes an optimized crystal structure of LaMoAs2Ir. The functional is PBE.

Formation enthalpy at 0 K   1.93 eV/atom

Cell lengths 5.375, 5.375, 4.906 Å; angles 90.00, 90.00, 90.00 degrees
Element x y z (fractional)
La  0.000  0.000  0.000
Mo  0.500  0.500  0.500
As  0.000  0.500  0.000
As  0.500  0.000  0.000
Ir  0.000  0.000  0.500

***

[3]
This record from the Alexandria database describes an optimized crystal structure of Sr2NdGa. The functional is PBE.

Formation enthalpy at 0 K   0.12 eV/atom

Cell lengths 12.365, 12.365, 12.365 Å; angles 17.84, 17.84, 17.84 degrees
Element x y z (fractional)
Sr  0.102  0.102  0.102
Sr  0.898  0.898  0.898
Nd  0.000  0.000  0.000
Ga  0.500  0.500  0.500

***

[4]
This record from the Alexandria database describes an optimized crystal structure of MgTlClF2. The functional is PBE.

Energy relative to the elements, uncorrected   -11.58 eV per formula unit

Cell lengths 4.211, 4.211, 5.133 Å; angles 90.00, 90.00, 90.00 degrees
Element x y z (fractional)
Mg  0.000  0.000  0.000
Tl  0.500  0.500  0.500
Cl  0.000  0.000  0.500
F  0.000  0.500  0.000
F  0.500  0.000  0.000

***

[5]
This record from the Alexandria database describes an optimized crystal structure of HgTe2NF. The functional is PBE.

Energy relative to the elements, uncorrected   5.51 eV per formula unit
Excess energy over the best structure of this formula in the dataset   0.23 eV/f.u.

Cell lengths 5.783, 5.783, 4.031 Å; angles 90.00, 90.00, 90.00 degrees
Element x y z (fractional)
Hg  0.000  0.000  0.000
Te  0.000  0.500  0.000
Te  0.500  0.000  0.000
N  0.000  0.000  0.500
F  0.500  0.500  0.500

***

[6]
This record from the Alexandria database describes an optimized crystal structure of AcMgZnPb. The functional is PBE.

Formation enthalpy at 0 K   -0.22 eV/atom

Cell lengths 5.436, 5.436, 5.436 Å; angles 60.00, 60.00, 60.00 degrees
Element x y z (fractional)
Ac  0.000  0.000  0.000
Mg  0.500  0.500  0.500
Zn  0.250  0.250  0.250
Pb  0.750  0.750  0.750

***

[7]
This record from the Alexandria database describes an optimized crystal structure of ScBeCd2. The functional is PBE.

Excess energy over the best structure of this formula in the dataset   0.30 eV/f.u.
Formation enthalpy at 0 K   0.08 eV/atom

Cell lengths 5.594, 5.594, 4.757 Å; angles 115.03, 115.03, 34.10 degrees
Element x y z (fractional)
Sc  0.000  0.000  0.000
Be  0.500  0.500  0.500
Cd  0.211  0.211  0.712
Cd  0.789  0.789  0.288

***

[8]
This record from the Alexandria database describes an optimized crystal structure of Er2SnHg. The functional is PBE.

Formation enthalpy at 0 K   -0.56 eV/atom

Cell lengths 6.062, 4.371, 8.589 Å; angles 90.00, 109.40, 90.00 degrees
Element x y z (fractional)
Er  0.202  0.250  0.431
Er  0.291  0.750  0.070
Er  0.709  0.250  0.930
Er  0.798  0.750  0.569
Sn  0.381  0.750  0.707
Sn  0.619  0.250  0.293
Hg  0.112  0.250  0.799
Hg  0.888  0.750  0.201

***

[9]
This record from the Alexandria database describes an optimized crystal structure of KAlCl. The functional is PBE.

Energy relative to the elements, uncorrected   -0.20 eV per formula unit
Excess energy over the best structure of this formula in the dataset   1.08 eV/f.u.

Cell lengths 5.448, 5.448, 5.448 Å; angles 60.00, 60.00, 60.00 degrees
Element x y z (fractional)
K  0.000  0.000  0.000
Al  0.250  0.250  0.250
Cl  0.750  0.750  0.750

***

[10]
This record from the Alexandria database describes an optimized crystal structure of Al2GeRuRh. The functional is PBE.

Formation enthalpy at 0 K   0.57 eV/atom

Cell lengths 4.604, 4.604, 4.768 Å; angles 90.00, 90.00, 90.00 degrees
Element x y z (fractional)
Al  0.000  0.500  0.000
Al  0.500  0.000  0.000
Ge  0.000  0.000  0.500
Ru  0.500  0.500  0.500
Rh  0.500  0.500  0.000

***

[11]
This record from the Alexandria database describes an optimized crystal structure of CdHg2Ir. The functional is PBE.

Excess energy over the best structure of this formula in the dataset   0.50 eV/f.u.
Formation enthalpy at 0 K   0.33 eV/atom

Cell lengths 4.270, 4.270, 4.200 Å; angles 90.00, 90.00, 90.00 degrees
Element x y z (fractional)
Cd  0.000  0.000  0.000
Hg  0.000  0.500  0.500
Hg  0.500  0.000  0.500
Ir  0.500  0.500  0.000

***

[12]
This record from the Alexandria database describes an optimized crystal structure of VTc2H. The functional is PBE.

Excess energy over the best structure of this formula in the dataset   1.54 eV/f.u.

Cell lengths 4.096, 4.096, 4.096 Å; angles 60.00, 60.00, 60.00 degrees
Element x y z (fractional)
V  0.000  0.000  0.000
Tc  0.250  0.250  0.250
Tc  0.750  0.750  0.750
H  0.500  0.500  0.500

***

[13]
This record from the Alexandria database describes an optimized crystal structure of Zr2NpCr. The functional is PBE.

Formation enthalpy at 0 K   0.46 eV/atom

Cell lengths 9.561, 9.561, 9.561 Å; angles 18.97, 18.97, 18.97 degrees
Element x y z (fractional)
Zr  0.237  0.237  0.237
Zr  0.763  0.763  0.763
Np  0.000  0.000  0.000
Cr  0.500  0.500  0.500

***

[14]
This record from the Alexandria database describes an optimized crystal structure of Co2Ag. The functional is PBE.

Excess energy over the best structure of this formula in the dataset   0.25 eV/f.u.
Formation enthalpy at 0 K   0.35 eV/atom

Cell lengths 5.906, 5.906, 3.894 Å; angles 90.00, 90.00, 143.44 degrees
Element x y z (fractional)
Co  0.113  0.887  0.750
Co  0.252  0.748  0.250
Co  0.748  0.252  0.750
Co  0.887  0.113  0.250
Ag  0.417  0.583  0.750
Ag  0.583  0.417  0.250

***

[15]
This record from the Alexandria database describes an optimized crystal structure of K2CoTe. The functional is PBE.

Energy relative to the elements, uncorrected   0.42 eV per formula unit

Cell lengths 3.627, 3.627, 10.081 Å; angles 90.00, 90.00, 90.00 degrees
Element x y z (fractional)
K  0.000  0.000  0.000
K  0.500  0.500  0.407
Co  0.500  0.500  0.730
Te  0.000  0.000  0.665

***

[16]
This record from the Alexandria database describes an optimized crystal structure of Hf2NiGe. The functional is PBE.

Formation enthalpy at 0 K   -0.13 eV/atom

Cell lengths 5.827, 5.827, 5.827 Å; angles 105.07, 105.07, 118.68 degrees
Element x y z (fractional)
Hf  0.099  0.625  0.974
Hf  0.375  0.349  0.474
Hf  0.651  0.125  0.026
Hf  0.875  0.901  0.526
Ni  0.000  0.000  0.000
Ni  0.750  0.250  0.500
Ge  0.250  0.750  0.500
Ge  0.500  0.500  0.000

***

[17]
This record from the Alexandria database describes an optimized crystal structure of SrOs2Ru. The functional is PBE.

Excess energy over the best structure of this formula in the dataset   0.96 eV/f.u.
Formation enthalpy at 0 K   0.85 eV/atom

Cell lengths 10.033, 10.033, 10.033 Å; angles 16.16, 16.16, 16.16 degrees
Element x y z (fractional)
Sr  0.000  0.000  0.000
Os  0.237  0.237  0.237
Os  0.499  0.499  0.499
Ru  0.762  0.762  0.762

***

[18]
This record from the Alexandria database describes an optimized crystal structure of LiReTc2. The functional is PBE.

Excess energy over the best structure of this formula in the dataset   0.16 eV/f.u.
Formation enthalpy at 0 K   0.17 eV/atom

Cell lengths 9.300, 9.300, 9.300 Å; angles 16.95, 16.95, 16.95 degrees
Element x y z (fractional)
Li  0.000  0.000  0.000
Re  0.500  0.500  0.500
Tc  0.247  0.247  0.247
Tc  0.753  0.753  0.753

***

[19]
This record from the Alexandria database describes an optimized crystal structure of LaCd2Pd. The functional is PBE.

Formation enthalpy at 0 K   0.04 eV/atom

Cell lengths 10.973, 10.973, 10.973 Å; angles 16.95, 16.95, 16.95 degrees
Element x y z (fractional)
La  0.000  0.000  0.000
Cd  0.102  0.102  0.102
Cd  0.898  0.898  0.898
Pd  0.500  0.500  0.500

***

[20]
This record from the Alexandria database describes an optimized crystal structure of NiMoPt2. The functional is PBE.

Excess energy over the best structure of this formula in the dataset   0.42 eV/f.u.
Formation enthalpy at 0 K   -0.19 eV/atom

Cell lengths 4.739, 4.739, 4.743 Å; angles 99.93, 99.93, 33.78 degrees
Element x y z (fractional)
Ni  0.000  0.000  0.000
Mo  0.744  0.744  0.248
Pt  0.251  0.251  0.764
Pt  0.495  0.495  0.480

***

| no. | calculated total energy (eV/f.u.) | size of the total moment (Bohr magnetons per cell) |
| --- | --- | --- |
| 1 | -53.39 | 0.0 |
| 2 | -24.27 | 0.3 |
| 3 | -10.68 | 0.5 |
| 4 | -21.13 | 0.0 |
| 5 | -11.27 | 0.6 |
| 6 | -11.56 | 0.0 |
| 7 | -11.55 | 0.0 |
| 8 | -15.68 | 0.0 |
| 9 | -6.88 | 0.4 |
| 10 | -25.88 | 0.0 |
| 11 | -9.08 | 0.0 |
| 12 | -31.09 | 0.0 |
| 13 | -37.81 | 3.7 |
| 14 | -16.01 | 7.0 |
| 15 | -12.02 | 0.0 |
| 16 | -30.82 | 0.0 |
| 17 | -30.04 | 0.0 |
| 18 | -34.41 | 0.0 |
| 19 | -11.80 | 0.1 |
| 20 | -29.46 | 0.0 |